[1]
K2NaCrCl: optimized geometry, PBE-GGA.

Computed properties:
Formation energy from raw total energies in eV per atom: -0.1472
M_tot in μB/cell: 5.63

```
K2NaCrCl
1.0
6.1015 0.0000 0.0000
0.0000 6.1015 0.0000
0.0000 0.0000 5.4237
K Na Cr Cl
2 1 1 1
Direct
0.0000 0.5000 0.0000
0.5000 0.0000 0.0000
0.0000 0.0000 0.5000
0.5000 0.5000 0.5000
0.0000 0.0000 0.0000
```

***

[2]
KNa2CrCl8: optimized geometry, PBE-GGA.

Computed properties:
Formation energy from raw total energies in eV per atom: -1.2255
M_tot in μB/cell: 2.23

```
KNa2CrCl8
1.0
5.6284 0.0000 0.0000
-0.1531 6.4151 0.0000
-0.0275 -0.0024 8.9257
K Na Cr Cl
1 2 1 8
Direct
0.0000 0.0000 0.0000
0.4988 0.5000 0.7205
0.5012 0.5000 0.2795
0.0000 0.0000 0.5000
0.2183 0.3099 0.4990
0.2373 0.8681 0.3139
0.2392 0.8705 0.6871
0.2479 0.4885 0.0000
0.7521 0.5115 0.0000
0.7608 0.1295 0.3129
0.7627 0.1319 0.6861
0.7817 0.6901 0.5010
```

***

[3]
KCr2OsCl: optimized geometry, PBE-GGA.

Computed properties:
Formation energy from raw total energies in eV per atom: 0.7730
M_tot in μB/cell: 6.61

```
KCr2OsCl
1.0
4.6510 0.0000 0.0000
0.0000 4.6510 0.0000
0.0000 0.0000 6.9530
K Cr Os Cl
1 2 1 1
Direct
0.0000 0.0000 0.0000
0.0000 0.5000 0.5000
0.5000 0.0000 0.5000
0.0000 0.0000 0.5000
0.5000 0.5000 0.0000
```

***

[4]
KCrPCl2: optimized geometry, PBE-GGA.

Computed properties:
Formation energy from raw total energies in eV per atom: -0.7312
M_tot in μB/cell: 2.00

```
KCrPCl2
1.0
5.1312 0.0000 0.0000
0.0000 5.1312 0.0000
0.0000 0.0000 4.5683
K Cr P Cl
1 1 1 2
Direct
0.0000 0.0000 0.0000
0.5000 0.5000 0.5000
0.5000 0.5000 0.0000
0.0000 0.5000 0.5000
0.5000 0.0000 0.5000
```

***

[5]
KCrPCl2: optimized geometry, PBE-GGA.

Computed properties:
Formation energy from raw total energies in eV per atom: 0.6042
M_tot in μB/cell: 7.86

```
KCrPCl2
1.0
5.7892 0.0000 0.0000
0.0000 5.7892 0.0000
0.0000 0.0000 5.8721
K Cr P Cl
1 1 1 2
Direct
0.0000 0.0000 0.0000
0.5000 0.5000 0.5000
0.0000 0.0000 0.5000
0.0000 0.5000 0.0000
0.5000 0.0000 0.0000
```

***

[6]
K2CrPbCl8: optimized geometry, PBE-GGA.

Computed properties:
Formation energy from raw total energies in eV per atom: -1.2689
M_tot in μB/cell: 1.99

```
K2CrPbCl8
1.0
6.5246 0.0000 0.0000
0.2291 6.9483 0.0000
0.0091 0.0070 8.2826
K Cr Pb Cl
2 1 1 8
Direct
0.0009 0.0001 0.2326
0.9991 0.9999 0.7674
0.5000 0.5000 0.0000
0.5000 0.5000 0.5000
0.2586 0.8288 0.5003
0.2841 0.3849 0.2035
0.2846 0.3841 0.7971
0.3189 0.7893 0.9994
0.6811 0.2107 0.0006
0.7154 0.6159 0.2029
0.7159 0.6151 0.7965
0.7414 0.1712 0.4997
```

***

[7]
K3Cr2PbCl9: optimized geometry, PBE-GGA.

Computed properties:
Formation energy from raw total energies in eV per atom: -1.3779
M_tot in μB/cell: 8.00

```
K3Cr2PbCl9
1.0
7.2185 0.0000 0.0000
-3.6092 6.2514 0.0000
0.0000 0.0000 9.3992
K Cr Pb Cl
3 2 1 9
Direct
0.0000 0.0000 0.0000
0.3333 0.6667 0.7222
0.6667 0.3333 0.2778
0.3333 0.6667 0.1524
0.6667 0.3333 0.8476
0.0000 0.0000 0.5000
0.0000 0.5000 0.0000
0.1726 0.3453 0.3023
0.1726 0.8274 0.3023
0.3453 0.1726 0.6977
0.5000 0.0000 0.0000
0.5000 0.5000 0.0000
0.6547 0.8274 0.3023
0.8274 0.1726 0.6977
0.8274 0.6547 0.6977
```

***

[8]
KCr2PbCl8: optimized geometry, PBE-GGA.

Computed properties:
Formation energy from raw total energies in eV per atom: -1.1037
M_tot in μB/cell: 7.00

```
KCr2PbCl8
1.0
-4.7327 4.7327 4.2106
4.7327 -4.7327 4.2106
4.7327 4.7327 -4.2106
K Cr Pb Cl
1 2 1 8
Direct
0.0000 0.0000 0.0000
0.5000 0.5000 0.0000
0.7500 0.2500 0.5000
0.2500 0.7500 0.5000
0.3215 0.1371 0.8156
0.3215 0.5059 0.1844
0.3913 0.0609 0.3304
0.4941 0.6785 0.8156
0.7306 0.0609 0.6696
0.8629 0.6785 0.1844
0.9391 0.2694 0.3304
0.9391 0.6087 0.6696
```